The following is a GGA-PBE calculation of a relaxed structure of Hf2ZrP2, from Alexandria via LeMat-Bulk.

```
data_Hf2ZrP2
_chemical_formula_sum 'Hf4 Zr2 P4'
_cell_length_a 7.010
_cell_length_b 7.010
_cell_length_c 3.565
_cell_angle_alpha 90.00
_cell_angle_beta 90.00
_cell_angle_gamma 90.00
_space_group_name_H-M_alt 'P 4/m b m'
_space_group_IT_number 127
_space_group_name_Hall '-P 4 2ab'
loop_
_atom_site_label
_atom_site_fract_x
_atom_site_fract_y
_atom_site_fract_z
_atom_site_occupancy
Hf1 0.160 0.340 0.000 1
Zr1 0.000 0.000 0.500 1
P1 0.139 0.639 0.500 1
```

* crystal system: tetragonal
* energy: -8.980 eV/atom
* calculated density: 9.7 g/cm3
* ΔE to the lowest computed polymorph: 0.000 kcal/mol of atoms